#one
Compound: Li6Br3N
Source: the Alexandria database
Functional: GGA-PBEsol
Structure: optimized geometry

a = 13.7853 Å, b = 13.7853 Å, c = 13.7853 Å
α = 131.65°, β = 131.09°, γ = 71.23°
Closest atoms and distances in Å follow each position.
Positions (direct):
Li  0.0123  0.0584  0.1793  1 N 1.92
Li  0.0155  0.0474  0.6769  1 N 1.93
Li  0.0484  0.5102  0.1730  1 N 1.92
Li  0.0506  0.3766  0.5416  1 N 1.93
Li  0.0749  0.8559  0.0032  1 N 1.94
Li  0.0782  0.8538  0.4939  1 N 1.93
Li  0.1209  0.4416  0.4540  1 N 1.92
Li  0.1295  0.6614  0.1769  1 N 1.93
Li  0.1400  0.4157  0.9939  1 N 1.93
Li  0.1473  0.6441  0.7191  1 N 1.94
Li  0.1629  0.1246  0.6730  1 N 1.92
Li  0.1650  0.1234  0.1741  1 N 1.93
Li  0.3350  0.5091  0.9584  1 N 1.93
Li  0.3371  0.0102  0.9617  1 N 1.92
Li  0.3527  0.0718  0.4968  1 N 1.94
Li  0.3600  0.3538  0.2756  1 N 1.93
Li  0.3705  0.5474  0.5319  1 N 1.93
Li  0.3791  0.8331  0.3207  1 N 1.92
Li  0.4218  0.9157  0.7756  1 N 1.93
Li  0.4251  0.4282  0.7809  1 N 1.94
Li  0.4494  0.9909  0.3259  1 N 1.93
Li  0.4516  0.6246  0.4617  1 N 1.92
Li  0.4845  0.1614  0.0319  1 N 1.93
Li  0.4877  0.6669  0.0460  1 N 1.92
Li  0.5123  0.3331  0.9540  1 N 1.92
Li  0.5155  0.8386  0.9681  1 N 1.93
Li  0.5484  0.3754  0.5383  1 N 1.92
Li  0.5506  0.0091  0.6741  1 N 1.93
Li  0.5749  0.5718  0.2191  1 N 1.94
Li  0.5782  0.0843  0.2244  1 N 1.93
Li  0.6209  0.1669  0.6793  1 N 1.92
Li  0.6295  0.4526  0.4681  1 N 1.93
Li  0.6400  0.6462  0.7244  1 N 1.93
Li  0.6473  0.9282  0.5032  1 N 1.94
Li  0.6629  0.9898  0.0383  1 N 1.92
Li  0.6650  0.4909  0.0415  1 N 1.93
Li  0.8350  0.8766  0.8259  1 N 1.93
Li  0.8371  0.8754  0.3270  1 N 1.92
Li  0.8527  0.3559  0.2809  1 N 1.94
Li  0.8600  0.5843  0.0061  1 N 1.93
Li  0.8705  0.3386  0.8231  1 N 1.93
Li  0.8791  0.5584  0.5460  1 N 1.92
Li  0.9218  0.1462  0.5061  1 N 1.93
Li  0.9251  0.1441  0.9968  1 N 1.94
Li  0.9494  0.6234  0.4584  1 N 1.93
Li  0.9516  0.4898  0.8270  1 N 1.92
Li  0.9845  0.9526  0.3231  1 N 1.93
Li  0.9877  0.9416  0.8207  1 N 1.92
Br  0.1127  0.3627  0.7500  6 Li 2.53-2.69
Br  0.1170  0.8567  0.7184  5 Li 2.50-2.79
Br  0.1360  0.8860  0.2500  6 Li 2.55-2.79
Br  0.1383  0.3567  0.2397  5 Li 2.50-2.79
Br  0.2292  0.2500  0.4792  6 Li 2.56-2.80
Br  0.2500  0.2194  0.9694  6 Li 2.56-2.72
Br  0.2500  0.7194  0.4694  6 Li 2.56-2.72
Br  0.2708  0.7500  0.0208  6 Li 2.56-2.80
Br  0.3617  0.6014  0.2184  5 Li 2.50-2.79
Br  0.3640  0.6140  0.7500  6 Li 2.55-2.79
Br  0.3830  0.1014  0.7397  5 Li 2.50-2.79
Br  0.3873  0.1373  0.2500  6 Li 2.53-2.69
Br  0.6127  0.8627  0.7500  6 Li 2.53-2.69
Br  0.6170  0.8986  0.2603  5 Li 2.50-2.79
Br  0.6360  0.3860  0.2500  6 Li 2.55-2.79
Br  0.6383  0.3986  0.7816  5 Li 2.50-2.79
Br  0.7292  0.2500  0.9792  6 Li 2.56-2.80
Br  0.7500  0.2806  0.5306  6 Li 2.56-2.72
Br  0.7500  0.7806  0.0306  6 Li 2.56-2.72
Br  0.7708  0.7500  0.5208  6 Li 2.56-2.80
Br  0.8617  0.6433  0.7603  5 Li 2.50-2.79
Br  0.8640  0.1140  0.7500  6 Li 2.55-2.79
Br  0.8830  0.1433  0.2816  5 Li 2.50-2.79
Br  0.8873  0.6373  0.2500  6 Li 2.53-2.69
N  0.0000  0.0000  0.0000  6 Li 1.92-1.94
N  0.0000  0.0000  0.5000  6 Li 1.92-1.93
N  0.0000  0.5000  0.0000  6 Li 1.92-1.93
N  0.0000  0.5000  0.5000  6 Li 1.92-1.94
N  0.5000  0.0000  0.0000  6 Li 1.92-1.93
N  0.5000  0.0000  0.5000  6 Li 1.92-1.94
N  0.5000  0.5000  0.0000  6 Li 1.92-1.94
N  0.5000  0.5000  0.5000  6 Li 1.92-1.93

**Theoretical density**: 2.7 g/cm³
**M_tot**: 0.1 μB/f.u.
**D(E_F)**: 0.000 states/eV/atom

#two
Compound: Li6Br3N
Source: the Alexandria database
Functional: GGA-PBEsol
Structure: optimized geometry

a = 5.6972 Å, b = 5.6972 Å, c = 6.6704 Å
α = 113.68°, β = 113.68°, γ = 86.90°
Closest atoms and distances in Å follow each position.
Positions (direct):
Li  0.0346  0.6768  0.7755  1 N 1.91
Li  0.1446  0.1446  0.8538  1 N 1.92
Li  0.3232  0.9654  0.2245  1 N 1.91
Li  0.6768  0.0346  0.7755  1 N 1.91
Li  0.8554  0.8554  0.1462  1 N 1.92
Li  0.9654  0.3232  0.2245  1 N 1.91
Br  0.2365  0.7635  0.5000  6 Li 2.55-2.73
Br  0.5000  0.5000  0.0000  6 Li 2.53-2.83
Br  0.7635  0.2365  0.5000  6 Li 2.55-2.73
N  0.0000  0.0000  0.0000  6 Li 1.91-1.92

**Theoretical density**: 2.7 g/cm³
**M_tot**: 0.1 μB/f.u.
**D(E_F)**: 0.000 states/eV/atom

#three
Compound: Li6Br3N
Source: the Alexandria database
Functional: GGA-PBEsol
Structure: optimized geometry

a = 6.2731 Å, b = 6.2731 Å, c = 6.2731 Å
α = 60.00°, β = 60.00°, γ = 60.00°
Closest atoms and distances in Å follow each position.
Positions (direct):
Li  0.2130  0.2130  0.7870  1 N 1.89
Li  0.2130  0.7870  0.2130  1 N 1.89
Li  0.2130  0.7870  0.7870  1 N 1.89
Li  0.7870  0.2130  0.2130  1 N 1.89
Li  0.7870  0.2130  0.7870  1 N 1.89
Li  0.7870  0.7870  0.2130  1 N 1.89
Br  0.2500  0.2500  0.2500  12 Li 3.15
Br  0.5000  0.5000  0.5000  6 Li 2.55
Br  0.7500  0.7500  0.7500  12 Li 3.15
N  0.0000  0.0000  0.0000  6 Li 1.89

**Theoretical density**: 2.8 g/cm³
**M_tot**: 0.1 μB/f.u.
**D(E_F)**: 0.000 states/eV/atom

Pick #one: it beats the second-best structure by 1.6 kJ/mol of atoms.

#one
Compound: LiNiBr2
Source: the Alexandria database
Functional: GGA-PBEsol
Structure: optimized geometry

a = 7.5314 Å, b = 7.5314 Å, c = 7.5314 Å
α = 153.30°, β = 153.30°, γ = 38.11°
Closest atoms and distances in Å follow each position.
Positions (direct):
Li  0.0000  0.0000  0.0000  4 Br 2.46
Ni  0.7500  0.2500  0.5000  4 Br 2.46
Br  0.2500  0.7500  0.5000  4 Ni 2.46
Br  0.5000  0.5000  0.0000  4 Li 2.46

**Theoretical density**: 4.3 g/cm³
**M_tot**: 0.5 μB/f.u.
**D(E_F)**: 0.920 states/eV/atom

#two
Compound: LiNiBr2
Source: the Alexandria database
Functional: GGA-PBEsol
Structure: optimized geometry

a = 6.8059 Å, b = 6.8059 Å, c = 3.5148 Å
α = 90.08°, β = 90.08°, γ = 29.88°
Closest atoms and distances in Å follow each position.
Positions (direct):
Li  0.0000  0.0000  0.0000  5 Br 2.54-2.56
Ni  0.3552  0.3552  0.4937  5 Br 2.45-2.58
Br  0.5415  0.5415  0.5005  1 Ni 2.45, 4 Li 2.54
Br  0.8057  0.8057  0.9968  1 Li 2.56, 4 Ni 2.56-2.58

**Theoretical density**: 4.6 g/cm³
**M_tot**: 1.0 μB/f.u.
**D(E_F)**: 0.793 states/eV/atom

#three
Compound: LiNiBr2
Source: the Alexandria database
Functional: GGA-PBEsol
Structure: optimized geometry

a = 3.6623 Å, b = 3.6623 Å, c = 5.1483 Å
α = 90.00°, β = 90.00°, γ = 90.00°
Closest atoms and distances in Å follow each position.
Positions (direct):
Li  0.0000  0.0000  0.0000  6 Br 2.57-2.59
Ni  0.5000  0.5000  0.5000  6 Br 2.57-2.59
Br  0.0000  0.0000  0.5000  2 Li 2.57, 4 Ni 2.59
Br  0.5000  0.5000  0.0000  2 Ni 2.57, 4 Li 2.59

**Theoretical density**: 5.4 g/cm³
**M_tot**: 0.0 μB/f.u.
**D(E_F)**: 0.436 states/eV/atom

Pick #three: it beats the second-best structure by 4.8 kJ/mol of atoms.